# Mn6S3O2, relaxed, DFT PBE+U
# V: 369.16 Å³ per cell
# Spin magnetization: 56.42 μB/cell
# Energy: -149.07 eV for the cell shown
data_Mn6S3O2
_chemical_formula_sum 'Mn12 S6 O4'
_cell_length_a 4.298
_cell_length_b 4.298
_cell_length_c 19.983
_cell_angle_alpha 90.00
_cell_angle_beta 90.00
_cell_angle_gamma 90.00
_space_group_name_H-M_alt 'I 4/m m m'
_space_group_IT_number 139
_space_group_name_Hall '-I 4 2'
loop_
_atom_site_label
_atom_site_type_symbol
_atom_site_fract_x
_atom_site_fract_y
_atom_site_fract_z
Mn1 Mn 0.000 0.000 0.212
Mn2 Mn 0.000 0.500 0.089
S1 S 0.000 0.000 0.332
S2 S 0.000 0.000 0.500
O1 O 0.000 0.000 0.105